This record from Alexandria via LeMat-Bulk describes an optimized crystal structure of LiZn2CrO4. The functional is PBE+U.

a = 5.341 Å, b = 5.341 Å, c = 5.341 Å
α = 133.88°, β = 133.88°, γ = 67.27°
Positions (direct):
Li (0.000, 0.000, 0.000)
Zn (0.250, 0.750, 0.500)
Zn (0.750, 0.250, 0.500)
Cr (0.500, 0.500, 0.000)
O (0.000, 0.500, 0.500)
O (0.273, 0.273, 0.000)
O (0.500, 0.000, 0.500)
O (0.727, 0.727, 0.000)

Calculated values
- Electronic total energy: -5.61 eV/atom
- V: 77.85 Å³/cell